Here is a relaxed Pu2SbPt2 crystal from Alexandria via LeMat-Bulk. Energies are from PBE-GGA. Values from VASP.

Output
E_form (uncorrected) (meV/atom): -794

Geometry as Quantum ESPRESSO input:
```
&SYSTEM
  ibrav = 0, nat = 10, ntyp = 3
/
ATOMIC_SPECIES
Pt 195.08 Pt.upf
Pu 244.00 Pu.upf
Sb 121.76 Sb.upf
ATOMIC_POSITIONS crystal
Pt 0.500 0.872 0.128
Pt 0.500 0.128 0.872
Pt 0.500 0.628 0.628
Pt 0.500 0.372 0.372
Pu 0.000 0.824 0.824
Pu 0.000 0.324 0.676
Pu 0.000 0.176 0.176
Pu 0.000 0.676 0.324
Sb 0.500 0.500 0.000
Sb 0.500 0.000 0.500
CELL_PARAMETERS angstrom
-1.331 1.400 3.380
-7.133 -1.561 -2.162
0.578 -6.931 3.099
```



Here is a relaxed LiCa3C crystal from Alexandria via LeMat-Bulk. Energies are from PBE-GGA. Values from VASP.

Output
Offset from the most stable computed form (eV/atom): 0.0000

Geometry as Quantum ESPRESSO input:
```
&SYSTEM
  ibrav = 0, nat = 10, ntyp = 3
/
ATOMIC_SPECIES
Ca 40.08 Ca.upf
C 12.01 C.upf
Li 6.94 Li.upf
ATOMIC_POSITIONS crystal
Ca 0.977 0.422 0.431
Ca 0.979 0.924 0.418
Ca 0.530 0.179 0.711
Ca 0.979 0.424 0.991
Ca 0.427 0.667 0.710
Ca 0.977 0.922 0.003
C 0.868 0.479 0.711
C 0.088 0.367 0.711
Li 0.475 0.668 0.212
Li 0.481 0.178 0.210
CELL_PARAMETERS angstrom
-2.917 0.186 -2.720
-4.349 -4.828 5.034
-3.400 7.389 4.151
```



Here is a relaxed NdTmPdPb crystal from Alexandria via LeMat-Bulk. Energies are from PBE-GGA. Values from VASP.

Output
DFT total energy (eV/cell): -20.48

Geometry as Quantum ESPRESSO input:
```
&SYSTEM
  ibrav = 0, nat = 4, ntyp = 4
/
ATOMIC_SPECIES
Nd 144.24 Nd.upf
Pb 207.20 Pb.upf
Pd 106.42 Pd.upf
Tm 168.93 Tm.upf
ATOMIC_POSITIONS crystal
Nd 0.250 0.250 0.250
Pb 0.500 0.500 0.500
Pd 0.000 0.000 0.000
Tm 0.750 0.750 0.750
CELL_PARAMETERS angstrom
-3.358 -0.629 4.007
-2.475 -4.600 0.663
1.281 -3.121 4.043
```



Here is a relaxed In4GaBi crystal from Alexandria via LeMat-Bulk. Energies are from PBE-GGA. Values from VASP.

Output
Offset from the most stable computed form (eV/atom): 0.0000

Geometry as Quantum ESPRESSO input:
```
&SYSTEM
  ibrav = 0, nat = 6, ntyp = 3
/
ATOMIC_SPECIES
In 114.82 In.upf
Ga 69.72 Ga.upf
Bi 208.98 Bi.upf
ATOMIC_POSITIONS crystal
In 0.500 0.500 0.820
In 0.000 0.000 0.343
In 0.500 0.500 0.180
In 0.000 0.000 0.657
Ga 0.500 0.500 0.500
Bi 0.000 0.000 0.000
CELL_PARAMETERS angstrom
-2.099 -3.049 -1.547
3.069 -0.880 -2.429
3.782 -6.162 7.013
```



Here is a relaxed TaTi4Al5 crystal from Alexandria via LeMat-Bulk. Energies are from PBE-GGA. Values from VASP.

Output
Offset from the most stable computed form (eV/atom): 0.0000

Geometry as Quantum ESPRESSO input:
```
&SYSTEM
  ibrav = 0, nat = 10, ntyp = 3
/
ATOMIC_SPECIES
Ta 180.95 Ta.upf
Ti 47.87 Ti.upf
Al 26.98 Al.upf
ATOMIC_POSITIONS crystal
Ta 0.000 0.000 0.000
Ti 0.000 0.000 0.401
Ti 0.000 0.000 0.599
Ti 0.000 0.000 0.203
Ti 0.000 0.000 0.797
Al 0.500 0.500 0.500
Al 0.500 0.500 0.102
Al 0.500 0.500 0.898
Al 0.500 0.500 0.302
Al 0.500 0.500 0.698
CELL_PARAMETERS angstrom
2.827 0.000 0.000
0.000 2.827 0.000
0.000 0.000 20.432
```



Here is a relaxed LaTl2Sb2 crystal from Alexandria via LeMat-Bulk. Energies are from PBE-GGA. Values from VASP.

Output
Offset from the most stable computed form (eV/atom): 0.1102
E_form (uncorrected) (meV/atom): -408

Geometry as Quantum ESPRESSO input:
```
&SYSTEM
  ibrav = 0, nat = 5, ntyp = 3
/
ATOMIC_SPECIES
Tl 204.38 Tl.upf
Sb 121.76 Sb.upf
La 138.91 La.upf
ATOMIC_POSITIONS crystal
Tl 0.250 0.750 0.500
Tl 0.750 0.250 0.500
Sb 0.587 0.587 0.826
Sb 0.413 0.413 0.174
La 0.000 0.000 0.000
CELL_PARAMETERS angstrom
-0.962 -3.145 -3.006
3.436 1.340 -2.501
6.199 -6.215 1.217
```



Here is a relaxed Mg2SiTc crystal from Alexandria via LeMat-Bulk. Energies are from PBE-GGA. Values from VASP.

Output
E_form (uncorrected) (meV/atom): 94

Geometry as Quantum ESPRESSO input:
```
&SYSTEM
  ibrav = 0, nat = 4, ntyp = 3
/
ATOMIC_SPECIES
Tc 98.00 Tc.upf
Mg 24.30 Mg.upf
Si 28.09 Si.upf
ATOMIC_POSITIONS crystal
Tc 0.750 0.750 0.750
Mg 0.000 0.000 0.000
Mg 0.250 0.250 0.250
Si 0.500 0.500 0.500
CELL_PARAMETERS angstrom
4.435 0.000 0.000
2.217 3.841 0.000
2.217 1.280 3.621
```



Here is a relaxed TbHPd2Rh crystal from Alexandria via LeMat-Bulk. Energies are from PBE-GGA. Values from VASP.

Output
DFT total energy (eV/cell): -28.94

Geometry as Quantum ESPRESSO input:
```
&SYSTEM
  ibrav = 0, nat = 5, ntyp = 4
/
ATOMIC_SPECIES
Pd 106.42 Pd.upf
H 1.01 H.upf
Rh 102.91 Rh.upf
Tb 158.93 Tb.upf
ATOMIC_POSITIONS crystal
Pd 0.000 0.000 0.500
Pd 0.000 0.500 0.000
H 0.000 0.000 0.000
Rh 0.500 0.000 0.000
Tb 0.500 0.500 0.500
CELL_PARAMETERS angstrom
4.154 0.000 0.000
0.000 4.131 0.000
0.000 0.000 4.131
```



| no. | total magnetization (μB per formula unit) | DOS at the Fermi energy (states/eV per cell) |
| --- | --- | --- |
| 1 | 10.338 | 38.05 |
| 2 | 0.000 | 9.02 |
| 3 | 0.000 | 2.09 |
| 4 | 0.000 | 1.97 |
| 5 | 0.000 | 10.67 |
| 6 | 0.000 | 2.80 |
| 7 | 0.000 | 3.60 |
| 8 | 0.000 | 4.39 |